Na2YTh2Te6: optimized geometry, PBE.

Unit cell a=7.6647 b=13.2805 c=8.1097 alpha=90.00 beta=108.49 gamma=90.00
Space group C2/m (No. 12)
One atom of each set of equivalent atoms:
Na: 0.0000 0.1679 0.0000
Y: 0.0000 0.0000 0.5000
Th: 0.0000 0.3329 0.5000
Te: 0.2462 0.1635 0.7389
Te: 0.2491 0.5000 0.7377

Calculated values
Raw formation energy ... -1.201 eV per atom